No. 1
First-principles (GGA-PBE) data for a relaxed SmZr2Ir crystal, as listed in Alexandria.

Output
Calculated density: 8.57 g cm⁻³
Magnetic moment: 0.00 Bohr magnetons per cell
Formation enthalpy at 0 K: -279 meV/atom
Density of states at the Fermi level: 2.00 states/eV/f.u.

a = 6.586 Å, b = 6.586 Å, c = 6.586 Å
α = 38.99°, β = 38.99°, γ = 38.99°
Positions (direct):
Sm 0.000 0.000 0.000
Zr 0.560 0.560 0.560
Zr 0.788 0.788 0.788
Ir 0.181 0.181 0.181

=====

No. 2
First-principles (GGA-PBE) data for a relaxed SnIr crystal, as listed in Alexandria.

Output
Calculated density: 14.02 g cm⁻³
Magnetic moment: 0.00 Bohr magnetons per cell
Formation enthalpy at 0 K: 31 meV/atom
Density of states at the Fermi level: 1.24 states/eV/f.u.

a = 3.960 Å, b = 4.642 Å, c = 4.006 Å
α = 90.00°, β = 90.00°, γ = 90.00°
Positions (direct):
Sn 0.250 0.250 0.063
Sn 0.750 0.750 0.937
Ir 0.250 0.750 0.407
Ir 0.750 0.250 0.593

=====

No. 3
First-principles (GGA-PBE) data for a relaxed Sn4Ir crystal, as listed in Alexandria.

Output
Calculated density: 9.36 g cm⁻³
Magnetic moment: 0.00 Bohr magnetons per cell
Formation enthalpy at 0 K: -187 meV/atom
Density of states at the Fermi level: 2.22 states/eV/f.u.

a = 6.487 Å, b = 6.487 Å, c = 5.622 Å
α = 90.00°, β = 90.00°, γ = 90.00°
Positions (direct):
Sn 0.077 0.577 0.247
Sn 0.077 0.923 0.753
Sn 0.423 0.577 0.753
Sn 0.423 0.923 0.247
Sn 0.577 0.077 0.753
Sn 0.577 0.423 0.247
Sn 0.923 0.077 0.247
Sn 0.923 0.423 0.753
Ir 0.250 0.250 0.500
Ir 0.750 0.750 0.500

=====

No. 4
First-principles (GGA-PBE) data for a relaxed SnIr crystal, as listed in Alexandria.

Output
Calculated density: 9.38 g cm⁻³
Magnetic moment: 0.00 Bohr magnetons per cell
Formation enthalpy at 0 K: 399 meV/atom
Density of states at the Fermi level: 1.46 states/eV/f.u.

a = 7.317 Å, b = 7.317 Å, c = 4.113 Å
α = 90.00°, β = 90.00°, γ = 90.00°
Positions (direct):
Sn 0.226 0.226 0.000
Sn 0.274 0.726 0.500
Sn 0.726 0.274 0.500
Sn 0.774 0.774 0.000
Ir 0.126 0.874 0.000
Ir 0.374 0.374 0.500
Ir 0.626 0.626 0.500
Ir 0.874 0.126 0.000

=====

No. 5
First-principles (GGA-PBE) data for a relaxed Sn3Ir crystal, as listed in Alexandria.

Output
Calculated density: 10.11 g cm⁻³
Magnetic moment: 0.00 Bohr magnetons per cell
Energy above the lowest structure with this stoichiometry: 0.00 eV/f.u.
Formation enthalpy at 0 K: -79 meV/atom
Density of states at the Fermi level: 2.15 states/eV/f.u.

a = 5.445 Å, b = 5.445 Å, c = 8.512 Å
α = 90.00°, β = 90.00°, γ = 134.48°
Positions (direct):
Sn 0.074 0.926 0.750
Sn 0.358 0.642 0.548
Sn 0.358 0.642 0.952
Sn 0.642 0.358 0.048
Sn 0.642 0.358 0.452
Sn 0.926 0.074 0.250
Ir 0.229 0.771 0.250
Ir 0.771 0.229 0.750

=====

No. 6
First-principles (GGA-PBE) data for a relaxed Sn4Ir crystal, as listed in Alexandria.

Output
Calculated density: 9.34 g cm⁻³
Magnetic moment: 0.00 Bohr magnetons per cell
Formation enthalpy at 0 K: -191 meV/atom
Density of states at the Fermi level: 2.38 states/eV/f.u.

a = 6.568 Å, b = 6.568 Å, c = 6.443 Å
α = 90.00°, β = 90.00°, γ = 121.43°
Positions (direct):
Sn 0.047 0.296 0.078
Sn 0.204 0.453 0.578
Sn 0.296 0.047 0.578
Sn 0.453 0.204 0.078
Sn 0.547 0.796 0.922
Sn 0.704 0.953 0.422
Sn 0.796 0.547 0.422
Sn 0.953 0.704 0.922
Ir 0.250 0.750 0.250
Ir 0.750 0.250 0.750

=====

No. 7
First-principles (GGA-PBE) data for a relaxed Sn3Ir2 crystal, as listed in Alexandria.

Output
Calculated density: 11.15 g cm⁻³
Magnetic moment: 0.00 Bohr magnetons per cell
Formation enthalpy at 0 K: -148 meV/atom
Density of states at the Fermi level: 1.96 states/eV/f.u.

a = 6.643 Å, b = 3.640 Å, c = 9.158 Å
α = 90.00°, β = 95.14°, γ = 90.00°
Positions (direct):
Sn 0.043 0.250 0.361
Sn 0.190 0.250 0.970
Sn 0.425 0.250 0.708
Sn 0.575 0.750 0.292
Sn 0.810 0.750 0.030
Sn 0.957 0.750 0.639
Ir 0.190 0.750 0.183
Ir 0.303 0.750 0.505
Ir 0.697 0.250 0.495
Ir 0.810 0.250 0.817

=====

No. 8
First-principles (GGA-PBE) data for a relaxed Sn4Ir crystal, as listed in Alexandria.

Output
Calculated density: 9.33 g cm⁻³
Magnetic moment: 0.00 Bohr magnetons per cell
Formation enthalpy at 0 K: -194 meV/atom
Density of states at the Fermi level: 1.84 states/eV/f.u.

a = 12.386 Å, b = 12.386 Å, c = 12.386 Å
α = 149.96°, β = 149.96°, γ = 42.99°
Positions (direct):
Sn 0.015 0.766 0.906
Sn 0.109 0.015 0.749
Sn 0.140 0.734 0.749
Sn 0.234 0.640 0.249
Sn 0.266 0.515 0.406
Sn 0.360 0.109 0.594
Sn 0.391 0.140 0.906
Sn 0.485 0.391 0.751
Sn 0.515 0.609 0.249
Sn 0.609 0.860 0.094
Sn 0.640 0.891 0.406
Sn 0.734 0.485 0.594
Sn 0.766 0.360 0.751
Sn 0.860 0.266 0.251
Sn 0.891 0.985 0.251
Sn 0.985 0.234 0.094
Ir 0.125 0.375 0.750
Ir 0.375 0.125 0.250
Ir 0.625 0.875 0.750
Ir 0.875 0.625 0.250

=====

No. 9
First-principles (GGA-PBE) data for a relaxed SnIr crystal, as listed in Alexandria.

Output
Calculated density: 11.17 g cm⁻³
Magnetic moment: 0.00 Bohr magnetons per cell
Formation enthalpy at 0 K: 188 meV/atom
Density of states at the Fermi level: 2.37 states/eV/f.u.

a = 3.828 Å, b = 3.836 Å, c = 6.303 Å
α = 90.00°, β = 92.40°, γ = 90.00°
Positions (direct):
Sn 0.203 0.250 0.191
Sn 0.797 0.750 0.809
Ir 0.265 0.750 0.499
Ir 0.735 0.250 0.501

=====

No. 10
First-principles (GGA-PBE) data for a relaxed SnIr crystal, as listed in Alexandria.

Output
Calculated density: 12.98 g cm⁻³
Magnetic moment: 0.00 Bohr magnetons per cell
Formation enthalpy at 0 K: -229 meV/atom
Density of states at the Fermi level: 0.79 states/eV/f.u.

a = 4.027 Å, b = 4.027 Å, c = 5.665 Å
α = 90.00°, β = 90.00°, γ = 120.00°
Positions (direct):
Sn 0.333 0.667 0.250
Sn 0.667 0.333 0.750
Ir 0.000 0.000 0.000
Ir 0.000 0.000 0.500

=====

No. 11
First-principles (GGA-PBE) data for a relaxed SnIr crystal, as listed in Alexandria.

Output
Calculated density: 7.93 g cm⁻³
Magnetic moment: 0.00 Bohr magnetons per cell
Formation enthalpy at 0 K: 586 meV/atom
Density of states at the Fermi level: 1.06 states/eV/f.u.

a = 7.312 Å, b = 7.312 Å, c = 7.312 Å
α = 90.00°, β = 90.00°, γ = 90.00°
Positions (direct):
Sn 0.000 0.250 0.500
Sn 0.000 0.750 0.500
Sn 0.250 0.500 0.000
Sn 0.500 0.000 0.250
Sn 0.500 0.000 0.750
Sn 0.750 0.500 0.000
Ir 0.000 0.500 0.250
Ir 0.000 0.500 0.750
Ir 0.250 0.000 0.500
Ir 0.500 0.250 0.000
Ir 0.500 0.750 0.000
Ir 0.750 0.000 0.500

=====

No. 12
First-principles (GGA-PBE) data for a relaxed SnIr crystal, as listed in Alexandria.

Output
Calculated density: 13.13 g cm⁻³
Magnetic moment: 0.00 Bohr magnetons per cell
Formation enthalpy at 0 K: -60 meV/atom
Density of states at the Fermi level: 1.27 states/eV/f.u.

a = 4.311 Å, b = 5.443 Å, c = 5.443 Å
α = 112.55°, β = 90.00°, γ = 90.00°
Positions (direct):
Sn 0.000 0.000 0.000
Sn 0.500 0.435 0.796
Sn 0.500 0.796 0.435
Ir 0.000 0.103 0.553
Ir 0.000 0.553 0.103
Ir 0.500 0.272 0.272

=====

No. 13
First-principles (GGA-PBE) data for a relaxed Sn4Ir crystal, as listed in Alexandria.

Output
Calculated density: 7.90 g cm⁻³
Magnetic moment: 0.00 Bohr magnetons per cell
Formation enthalpy at 0 K: 146 meV/atom
Density of states at the Fermi level: 3.05 states/eV/f.u.

a = 5.196 Å, b = 5.196 Å, c = 5.196 Å
α = 90.00°, β = 90.00°, γ = 90.00°
Positions (direct):
Sn 0.000 0.000 0.000
Sn 0.000 0.500 0.500
Sn 0.500 0.000 0.500
Sn 0.500 0.500 0.000
Ir 0.500 0.500 0.500

=====

No. 14
First-principles (GGA-PBE) data for a relaxed SnIr crystal, as listed in Alexandria.

Output
Calculated density: 8.29 g cm⁻³
Magnetic moment: 0.00 Bohr magnetons per cell
Formation enthalpy at 0 K: 309 meV/atom
Density of states at the Fermi level: 1.37 states/eV/f.u.

a = 10.846 Å, b = 10.846 Å, c = 4.236 Å
α = 90.00°, β = 90.00°, γ = 90.00°
Positions (direct):
Sn 0.045 0.668 0.000
Sn 0.259 0.322 0.500
Sn 0.322 0.741 0.500
Sn 0.332 0.045 0.000
Sn 0.668 0.955 0.000
Sn 0.678 0.259 0.500
Sn 0.741 0.678 0.500
Sn 0.955 0.332 0.000
Ir 0.163 0.570 0.500
Ir 0.169 0.438 0.000
Ir 0.430 0.163 0.500
Ir 0.438 0.831 0.000
Ir 0.562 0.169 0.000
Ir 0.570 0.837 0.500
Ir 0.831 0.562 0.000
Ir 0.837 0.430 0.500

=====

No. 15
First-principles (GGA-PBE) data for a relaxed Sn7Ir3 crystal, as listed in Alexandria.

Output
Calculated density: 10.89 g cm⁻³
Magnetic moment: 0.00 Bohr magnetons per cell
Formation enthalpy at 0 K: -263 meV/atom
Density of states at the Fermi level: 2.31 states/eV/f.u.

a = 8.231 Å, b = 8.231 Å, c = 8.231 Å
α = 109.47°, β = 109.47°, γ = 109.47°
Positions (direct):
Sn 0.000 0.000 0.330
Sn 0.000 0.000 0.670
Sn 0.000 0.330 0.000
Sn 0.000 0.670 0.000
Sn 0.250 0.500 0.750
Sn 0.250 0.750 0.500
Sn 0.330 0.000 0.000
Sn 0.330 0.330 0.330
Sn 0.500 0.250 0.750
Sn 0.500 0.750 0.250
Sn 0.670 0.000 0.000
Sn 0.670 0.670 0.670
Sn 0.750 0.250 0.500
Sn 0.750 0.500 0.250
Ir 0.000 0.342 0.342
Ir 0.000 0.658 0.658
Ir 0.342 0.000 0.342
Ir 0.342 0.342 0.000
Ir 0.658 0.000 0.658
Ir 0.658 0.658 0.000

=====

No. 16
First-principles (GGA-PBE) data for a relaxed SnIr crystal, as listed in Alexandria.

Output
Calculated density: 9.08 g cm⁻³
Magnetic moment: 0.00 Bohr magnetons per cell
Formation enthalpy at 0 K: 235 meV/atom
Density of states at the Fermi level: 1.20 states/eV/f.u.

a = 9.721 Å, b = 9.721 Å, c = 4.167 Å
α = 90.00°, β = 90.00°, γ = 120.00°
Positions (direct):
Sn 0.141 0.378 0.250
Sn 0.237 0.859 0.250
Sn 0.378 0.237 0.750
Sn 0.622 0.763 0.250
Sn 0.763 0.141 0.750
Sn 0.859 0.622 0.750
Ir 0.001 0.575 0.250
Ir 0.425 0.427 0.250
Ir 0.427 0.001 0.750
Ir 0.573 0.999 0.250
Ir 0.575 0.573 0.750
Ir 0.999 0.425 0.750

=====

No. 17
First-principles (GGA-PBE) data for a relaxed Sn4Ir crystal, as listed in Alexandria.

Output
Calculated density: 8.61 g cm⁻³
Magnetic moment: 0.00 Bohr magnetons per cell
Formation enthalpy at 0 K: -71 meV/atom
Density of states at the Fermi level: 1.96 states/eV/f.u.

a = 9.503 Å, b = 9.503 Å, c = 9.385 Å
α = 96.75°, β = 96.75°, γ = 66.96°
Positions (direct):
Sn 0.000 0.500 0.000
Sn 0.018 0.982 0.750
Sn 0.027 0.648 0.646
Sn 0.157 0.578 0.327
Sn 0.192 0.237 0.629
Sn 0.210 0.701 0.011
Sn 0.237 0.192 0.129
Sn 0.299 0.790 0.489
Sn 0.352 0.973 0.854
Sn 0.393 0.421 0.638
Sn 0.421 0.393 0.138
Sn 0.422 0.843 0.173
Sn 0.500 0.000 0.500
Sn 0.578 0.157 0.827
Sn 0.579 0.607 0.862
Sn 0.607 0.579 0.362
Sn 0.648 0.027 0.146
Sn 0.701 0.210 0.511
Sn 0.763 0.808 0.871
Sn 0.790 0.299 0.989
Sn 0.808 0.763 0.371
Sn 0.843 0.422 0.673
Sn 0.973 0.352 0.354
Sn 0.982 0.018 0.250
Ir 0.060 0.228 0.869
Ir 0.228 0.060 0.369
Ir 0.281 0.719 0.750
Ir 0.719 0.281 0.250
Ir 0.772 0.940 0.631
Ir 0.940 0.772 0.131

=====

No. 18
First-principles (GGA-PBE) data for a relaxed SnIr crystal, as listed in Alexandria.

Output
Calculated density: 11.55 g cm⁻³
Magnetic moment: 0.00 Bohr magnetons per cell
Formation enthalpy at 0 K: 232 meV/atom
Density of states at the Fermi level: 1.72 states/eV/f.u.

a = 7.667 Å, b = 7.361 Å, c = 5.271 Å
α = 72.61°, β = 66.39°, γ = 41.00°
Positions (direct):
Sn 0.068 0.682 0.068
Sn 0.318 0.932 0.318
Sn 0.682 0.068 0.682
Sn 0.932 0.318 0.932
Ir 0.275 0.275 0.475
Ir 0.475 0.475 0.275
Ir 0.525 0.525 0.725
Ir 0.725 0.725 0.525

=====

No. 19
First-principles (GGA-PBE) data for a relaxed Sn2Ir crystal, as listed in Alexandria.

Output
Calculated density: 10.51 g cm⁻³
Magnetic moment: 0.00 Bohr magnetons per cell
Formation enthalpy at 0 K: -14 meV/atom
Density of states at the Fermi level: 1.48 states/eV/f.u.

a = 3.614 Å, b = 3.614 Å, c = 12.005 Å
α = 90.00°, β = 90.00°, γ = 120.00°
Positions (direct):
Sn 0.333 0.667 0.107
Sn 0.333 0.667 0.393
Sn 0.667 0.333 0.607
Sn 0.667 0.333 0.893
Ir 0.000 0.000 0.250
Ir 0.000 0.000 0.750

=====

No. 20
First-principles (GGA-PBE) data for a relaxed SnIr crystal, as listed in Alexandria.

Output
Calculated density: 12.13 g cm⁻³
Magnetic moment: 0.00 Bohr magnetons per cell
Formation enthalpy at 0 K: -34 meV/atom
Density of states at the Fermi level: 0.81 states/eV/f.u.

a = 5.344 Å, b = 7.471 Å, c = 8.528 Å
α = 90.00°, β = 90.00°, γ = 90.00°
Positions (direct):
Sn 0.007 0.167 0.106
Sn 0.008 0.151 0.665
Sn 0.492 0.849 0.165
Sn 0.493 0.833 0.606
Sn 0.507 0.333 0.894
Sn 0.508 0.349 0.335
Sn 0.992 0.651 0.835
Sn 0.993 0.667 0.394
Ir 0.012 0.814 0.109
Ir 0.232 0.482 0.115
Ir 0.268 0.518 0.615
Ir 0.488 0.186 0.609
Ir 0.512 0.686 0.891
Ir 0.732 0.018 0.885
Ir 0.768 0.982 0.385
Ir 0.988 0.314 0.391